The following is a PBE calculation of crystalline PmEuHgBi at its relaxed geometry, from Alexandria via LeMat-Bulk.

Calculated values
- Magnetization: 7.8 μB per cell
- E_form: -0.600 eV/atom

Unit cell a=5.544 b=5.544 c=5.544 alpha=60.00 beta=60.00 gamma=60.00
Last column: magnetic moment on the atom in μB.
Sites, in units of the cell vectors:
Eu (0.250, 0.250, 0.250)  6.91
Pm (0.750, 0.750, 0.750)  0.27
Bi (0.500, 0.500, 0.500)  -0.05
Hg (0.000, 0.000, 0.000)  0.04


The following is a PBE calculation of crystalline Tb3Pr4Y8 at its relaxed geometry, from Alexandria via LeMat-Bulk.

Calculated values
- Magnetization: 0.0 μB per cell
- E_form: 0.120 eV/atom
- Excess energy over the best structure of this formula in the dataset: 0 meV per atom

Unit cell a=7.030 b=7.030 c=12.592 alpha=73.79 beta=73.79 gamma=60.00
Sites, in units of the cell vectors:
Y (0.248, 0.750, 0.253)
Y (0.750, 0.248, 0.253)
Pr (0.336, 0.336, 0.991)
Tb (0.000, 0.500, 0.500)
Pr (0.664, 0.664, 0.009)
Y (0.250, 0.250, 0.747)
Y (0.250, 0.752, 0.747)
Y (0.245, 0.245, 0.265)
Tb (0.000, 0.000, 0.500)
Pr (0.000, 0.000, 0.000)
Y (0.752, 0.250, 0.747)
Y (0.750, 0.750, 0.253)
Tb (0.500, 0.000, 0.500)
Pr (0.500, 0.500, 0.500)
Y (0.755, 0.755, 0.735)


The following is a PBE calculation of crystalline MnIrPb2 at its relaxed geometry, from Alexandria via LeMat-Bulk.

Calculated values
- Magnetization: 4.0 μB per cell
- E_form: 0.365 eV/atom
- Excess energy over the best structure of this formula in the dataset: 193 meV per atom

Unit cell a=6.410 b=6.410 c=6.410 alpha=150.93 beta=136.27 gamma=53.37
Last column: magnetic moment on the atom in μB.
Sites, in units of the cell vectors:
Ir (0.473, 0.473, 0.000)  0.18
Pb (0.008, 0.008, 0.000)  -0.02
Mn (0.301, 0.801, 0.500)  3.70
Pb (0.718, 0.218, 0.500)  -0.05


The following is a PBE calculation of crystalline TbAlZnNi at its relaxed geometry, from Alexandria via LeMat-Bulk.

Calculated values
- Magnetization: 0.0 μB per cell
- E_form: -0.401 eV/atom

Unit cell a=4.586 b=4.586 c=4.586 alpha=60.00 beta=60.00 gamma=60.00
Sites, in units of the cell vectors:
Zn (0.750, 0.750, 0.750)
Tb (0.000, 0.000, 0.000)
Al (0.500, 0.500, 0.500)
Ni (0.250, 0.250, 0.250)


Number 1: E -21.61 eV per formula unit. Number 2: E -82.92 eV per formula unit. Number 3: E -23.99 eV per formula unit. Number 4: E -17.03 eV per formula unit.